Record 1
Material: MgCuP
Method: DFT, GGA-PBE
State: optimized geometry

Geometry as CIF:
```
data_MgCuP
_chemical_formula_sum 'Mg3 Cu3 P3'
_cell_length_a 6.673
_cell_length_b 6.673
_cell_length_c 3.666
_cell_angle_alpha 90.00
_cell_angle_beta 90.00
_cell_angle_gamma 120.00
_symmetry_space_group_name_H-M 'P 1'
_symmetry_Int_Tables_number 1
loop_
_symmetry_equiv_pos_as_xyz
'x,y,z'
loop_
_atom_site_label
_atom_site_type_symbol
_atom_site_fract_x
_atom_site_fract_y
_atom_site_fract_z
Mg1 Mg 0.000 0.273 0.000
Mg2 Mg 0.273 0.000 0.000
Mg3 Mg 0.727 0.727 0.000
Cu1 Cu 0.000 0.618 0.500
Cu2 Cu 0.382 0.382 0.500
Cu3 Cu 0.618 0.000 0.500
P1 P 0.000 0.000 0.500
P2 P 0.333 0.667 0.000
P3 P 0.667 0.333 0.000
```

## Properties
- total DFT energy (no corrections) (eV per formula unit) = -11.096

Record 2
Material: RbTmTe3As
Method: DFT, GGA-PBE
State: optimized geometry

Geometry as CIF:
```
data_RbTmTe3As
_chemical_formula_sum 'Rb2 Tm2 Te6 As2'
_cell_length_a 8.947
_cell_length_b 8.947
_cell_length_c 11.277
_cell_angle_alpha 90.00
_cell_angle_beta 90.00
_cell_angle_gamma 151.51
_symmetry_space_group_name_H-M 'P 1'
_symmetry_Int_Tables_number 1
loop_
_symmetry_equiv_pos_as_xyz
'x,y,z'
loop_
_atom_site_label
_atom_site_type_symbol
_atom_site_fract_x
_atom_site_fract_y
_atom_site_fract_z
Rb1 Rb 0.240 0.760 0.750
Rb2 Rb 0.760 0.240 0.250
Tm1 Tm 0.000 0.000 0.000
Tm2 Tm 0.000 0.000 0.500
Te1 Te 0.082 0.918 0.250
Te2 Te 0.377 0.623 0.039
Te3 Te 0.377 0.623 0.461
Te4 Te 0.623 0.377 0.539
Te5 Te 0.623 0.377 0.961
Te6 Te 0.918 0.082 0.750
As1 As 0.456 0.544 0.250
As2 As 0.544 0.456 0.750
```

## Properties
- total DFT energy (no corrections) (eV per formula unit) = -23.658

Record 3
Material: Rb2Sm3O4
Method: DFT, GGA-PBE
State: optimized geometry

Geometry as CIF:
```
data_Rb2Sm3O4
_chemical_formula_sum 'Rb4 Sm6 O8'
_cell_length_a 9.131
_cell_length_b 9.131
_cell_length_c 6.843
_cell_angle_alpha 102.57
_cell_angle_beta 102.57
_cell_angle_gamma 45.89
_symmetry_space_group_name_H-M 'P 1'
_symmetry_Int_Tables_number 1
loop_
_symmetry_equiv_pos_as_xyz
'x,y,z'
loop_
_atom_site_label
_atom_site_type_symbol
_atom_site_fract_x
_atom_site_fract_y
_atom_site_fract_z
Rb1 Rb 0.028 0.162 0.419
Rb2 Rb 0.162 0.028 0.919
Rb3 Rb 0.838 0.972 0.081
Rb4 Rb 0.972 0.838 0.581
Sm1 Sm 0.202 0.414 0.877
Sm2 Sm 0.414 0.202 0.377
Sm3 Sm 0.477 0.523 0.250
Sm4 Sm 0.523 0.477 0.750
Sm5 Sm 0.586 0.798 0.623
Sm6 Sm 0.798 0.586 0.123
O1 O 0.145 0.329 0.135
O2 O 0.262 0.639 0.952
O3 O 0.329 0.145 0.635
O4 O 0.361 0.738 0.548
O5 O 0.639 0.262 0.452
O6 O 0.671 0.855 0.365
O7 O 0.738 0.361 0.048
O8 O 0.855 0.671 0.865
```

## Properties
- total DFT energy (no corrections) (eV per formula unit) = -55.673

Record 4
Material: NaSnPt
Method: DFT, GGA-PBE
State: optimized geometry

Geometry as CIF:
```
data_NaSnPt
_chemical_formula_sum 'Na1 Sn1 Pt1'
_cell_length_a 4.551
_cell_length_b 4.551
_cell_length_c 4.551
_cell_angle_alpha 60.00
_cell_angle_beta 60.00
_cell_angle_gamma 60.00
_symmetry_space_group_name_H-M 'P 1'
_symmetry_Int_Tables_number 1
loop_
_symmetry_equiv_pos_as_xyz
'x,y,z'
loop_
_atom_site_label
_atom_site_type_symbol
_atom_site_fract_x
_atom_site_fract_y
_atom_site_fract_z
Na1 Na 0.000 0.000 0.000
Sn1 Sn 0.250 0.250 0.250
Pt1 Pt 0.750 0.750 0.750
```

## Properties
- total DFT energy (no corrections) (eV per formula unit) = -10.599